PmBePt4 | GGA-PBE | optimized geometry

**Final energy**: -37.4 eV per formula unit
**SG**: Pmma (51)
**Total magnetization**: 0.00 μB/cell
**ΔH_f (0 K)**: -4.786 eV/f.u.

Cell: 7.5265 3.9188 6.8025 Å, 90.00 90.00 90.00°
With the nearest neighbours (Å) after each atom.
Sites, in units of the cell vectors:
Pm  0.2500  0.0000  0.1192  1 Be 2.91, 12 Pt 3.00-3.22
Pm  0.7500  0.0000  0.8808  1 Be 2.91, 12 Pt 3.00-3.22
Be  0.2500  0.0000  0.6911  8 Pt 2.29-2.54
Be  0.7500  0.0000  0.3089  8 Pt 2.29-2.54
Pt  0.0000  0.0000  0.5000  2 Be 2.29
Pt  0.0629  0.5000  0.8064  2 Be 2.54, 3 Pt 2.78-2.82
Pt  0.2500  0.5000  0.4533  2 Be 2.54, 6 Pt 2.74-2.78
Pt  0.4371  0.5000  0.8064  2 Be 2.54, 3 Pt 2.78-2.82
Pt  0.5000  0.0000  0.5000  2 Be 2.29
Pt  0.5629  0.5000  0.1936  2 Be 2.54, 3 Pt 2.78-2.82
Pt  0.7500  0.5000  0.5467  2 Be 2.54, 6 Pt 2.74-2.78
Pt  0.9371  0.5000  0.1936  2 Be 2.54, 3 Pt 2.78-2.82